Record 1
Material: DySc2V
Method: DFT, PBE
State: relaxed

Calculated values
**ΔE_f**: 0.172 eV/atom
**D(E_F)**: 1.236 states/eV/atom
**Distance to the lowest polymorph of the same formula**: 0.0 kJ/mol of atoms
**Crystal system**: tetragonal
**Raw total energy**: -25.69 eV/cell

Geometry as CIF:
```
data_DySc2V
_chemical_formula_sum 'Dy1 Sc2 V1'
_cell_length_a 3.428
_cell_length_b 3.428
_cell_length_c 8.075
_cell_angle_alpha 90.00
_cell_angle_beta 90.00
_cell_angle_gamma 90.00
_symmetry_space_group_name_H-M 'P 1'
_symmetry_Int_Tables_number 1
_symmetry_space_group_name_Hall 'P 1'
loop_
_atom_site_label
_atom_site_type_symbol
_atom_site_fract_x
_atom_site_fract_y
_atom_site_fract_z
_atom_site_occupancy
Sc1 Sc 0.000 0.000 0.197 1
Sc2 Sc 0.000 0.000 0.803 1
Dy1 Dy 0.500 0.500 0.500 1
V1 V 0.500 0.500 0.000 1
```

=====

Record 2
Material: CrFeAg2Pd
Method: DFT, PBE
State: relaxed

Calculated values
**ΔE_f**: 1.265 eV/atom
**D(E_F)**: 1.117 states/eV/atom
**Crystal system**: tetragonal
**Raw total energy**: -22.66 eV/cell

Geometry as CIF:
```
data_CrFeAg2Pd
_chemical_formula_sum 'Cr1 Fe1 Ag2 Pd1'
_cell_length_a 4.833
_cell_length_b 3.968
_cell_length_c 4.833
_cell_angle_alpha 90.00
_cell_angle_beta 90.00
_cell_angle_gamma 90.00
_symmetry_space_group_name_H-M 'P 1'
_symmetry_Int_Tables_number 1
_symmetry_space_group_name_Hall 'P 1'
loop_
_atom_site_label
_atom_site_type_symbol
_atom_site_fract_x
_atom_site_fract_y
_atom_site_fract_z
_atom_site_occupancy
Pd1 Pd 0.500 0.500 0.500 1
Cr1 Cr 0.000 0.000 0.000 1
Ag1 Ag 0.500 0.000 0.000 1
Ag2 Ag 0.000 0.000 0.500 1
Fe1 Fe 0.000 0.500 0.000 1
```

=====

Record 3
Material: Pm4NdSc2
Method: DFT, PBE
State: relaxed

Calculated values
**ΔE_f**: 0.227 eV/atom
**D(E_F)**: 1.419 states/eV/atom
**Distance to the lowest polymorph of the same formula**: 4.8 kJ/mol of atoms
**Crystal system**: monoclinic
**Raw total energy**: -69.69 eV/cell

Geometry as CIF:
```
data_Pm4NdSc2
_chemical_formula_sum 'Pm8 Nd2 Sc4'
_cell_length_a 8.004
_cell_length_b 8.004
_cell_length_c 16.764
_cell_angle_alpha 92.01
_cell_angle_beta 92.01
_cell_angle_gamma 154.48
_symmetry_space_group_name_H-M 'P 1'
_symmetry_Int_Tables_number 1
_symmetry_space_group_name_Hall 'P 1'
loop_
_atom_site_label
_atom_site_type_symbol
_atom_site_fract_x
_atom_site_fract_y
_atom_site_fract_z
_atom_site_occupancy
Sc1 Sc 0.731 0.269 0.750 1
Sc2 Sc 0.618 0.382 0.250 1
Sc3 Sc 0.382 0.618 0.750 1
Sc4 Sc 0.269 0.731 0.250 1
Pm1 Pm 0.690 0.838 0.574 1
Pm2 Pm 0.162 0.310 0.926 1
Pm3 Pm 0.243 0.847 0.920 1
Pm4 Pm 0.153 0.757 0.580 1
Pm5 Pm 0.310 0.162 0.426 1
Pm6 Pm 0.838 0.690 0.074 1
Pm7 Pm 0.847 0.243 0.420 1
Pm8 Pm 0.757 0.153 0.080 1
Nd1 Nd 0.056 0.944 0.750 1
Nd2 Nd 0.944 0.056 0.250 1
```

=====

Record 4
Material: Sb3P
Method: DFT, PBE
State: relaxed

Calculated values
**Uncorrected formation energy**: 43 kJ/mol of atoms
**D(E_F)**: 1.153 states/eV/atom
**Distance to the lowest polymorph of the same formula**: 32.3 kJ/mol of atoms
**Crystal system**: cubic
**Raw total energy**: -16.01 eV/cell

Geometry as CIF:
```
data_Sb3P
_chemical_formula_sum 'Sb3 P1'
_cell_length_a 5.146
_cell_length_b 5.146
_cell_length_c 5.146
_cell_angle_alpha 60.00
_cell_angle_beta 60.00
_cell_angle_gamma 60.00
_symmetry_space_group_name_H-M 'P 1'
_symmetry_Int_Tables_number 1
_symmetry_space_group_name_Hall 'P 1'
loop_
_atom_site_label
_atom_site_type_symbol
_atom_site_fract_x
_atom_site_fract_y
_atom_site_fract_z
_atom_site_occupancy
Sb1 Sb 0.500 0.500 0.500 1
Sb2 Sb 0.750 0.750 0.750 1
Sb3 Sb 0.250 0.250 0.250 1
P1 P 0.000 0.000 0.000 1
```

=====

Record 5
Material: Ba2TlI
Method: DFT, PBE
State: relaxed

Calculated values
**Uncorrected formation energy**: -81 kJ/mol of atoms
**D(E_F)**: 0.636 states/eV/atom
**Distance to the lowest polymorph of the same formula**: 1.5 kJ/mol of atoms
**Crystal system**: trigonal
**Raw total energy**: -11.12 eV/cell

Geometry as CIF:
```
data_Ba2TlI
_chemical_formula_sum 'Ba2 Tl1 I1'
_cell_length_a 4.695
_cell_length_b 4.695
_cell_length_c 10.084
_cell_angle_alpha 76.54
_cell_angle_beta 76.54
_cell_angle_gamma 60.00
_symmetry_space_group_name_H-M 'P 1'
_symmetry_Int_Tables_number 1
_symmetry_space_group_name_Hall 'P 1'
loop_
_atom_site_label
_atom_site_type_symbol
_atom_site_fract_x
_atom_site_fract_y
_atom_site_fract_z
_atom_site_occupancy
Tl1 Tl 0.667 0.667 0.999 1
Ba1 Ba 0.078 0.078 0.765 1
Ba2 Ba 0.255 0.255 0.235 1
I1 I 0.499 0.499 0.502 1
```

=====

Record 6
Material: LaTaIn2
Method: DFT, PBE
State: relaxed

Calculated values
**ΔE_f**: 0.181 eV/atom
**D(E_F)**: 1.233 states/eV/atom
**Crystal system**: tetragonal
**Raw total energy**: -21.53 eV/cell

Geometry as CIF:
```
data_LaTaIn2
_chemical_formula_sum 'La1 Ta1 In2'
_cell_length_a 4.571
_cell_length_b 4.565
_cell_length_c 4.721
_cell_angle_alpha 90.00
_cell_angle_beta 90.00
_cell_angle_gamma 90.00
_symmetry_space_group_name_H-M 'P 1'
_symmetry_Int_Tables_number 1
_symmetry_space_group_name_Hall 'P 1'
loop_
_atom_site_label
_atom_site_type_symbol
_atom_site_fract_x
_atom_site_fract_y
_atom_site_fract_z
_atom_site_occupancy
In1 In 0.500 0.500 0.000 1
In2 In 0.000 0.000 0.000 1
Ta1 Ta 0.000 0.500 0.500 1
La1 La 0.500 0.000 0.500 1
```